# 1
This record from Alexandria via LeMat-Bulk describes a relaxed structure of Pm2MgSe3. The functional is PBE.

a = 9.2889 Å, b = 9.2889 Å, c = 9.2889 Å
α = 154.47°, β = 154.47°, γ = 36.41°
Last column: nearest neighbours and their distance in Å.
Fractional positions:
Pm1 0.1751 0.1751 0.0000  6 Se 2.93-3.09
Pm2 0.8249 0.8249 0.0000  6 Se 2.93-3.09
Mg1 0.5000 0.5000 0.0000  6 Se 2.72-2.90
Se1 0.0000 0.0000 0.0000  4 Mg 2.90, 2 Pm 3.09
Se2 0.3460 0.3460 0.0000  1 Mg 2.72, 5 Pm 2.93-3.02
Se3 0.6540 0.6540 0.0000  1 Mg 2.72, 5 Pm 2.93-3.02

Its density of states at the Fermi level is 1.859 states/eV/cell. The calculation puts the formation energy (no corrections) at -1.59 eV per atom. The space-group type is I4/mmm (139). The value obtained for the spin magnetization is 0.0000 μB/atom. As for the total energy: -5.186 eV per atom.

---

# 2
This record from Alexandria via LeMat-Bulk describes a relaxed structure of Pm5MgSe8. The functional is PBE.

a = 7.6800 Å, b = 7.6800 Å, c = 7.6800 Å
α = 110.07°, β = 110.07°, γ = 108.29°
Last column: nearest neighbours and their distance in Å.
Fractional positions:
Pm1 0.0000 0.0000 0.0000  8 Se 2.96-3.19
Pm2 0.2553 0.6375 0.1239  7 Se 2.94-3.19
Pm3 0.3625 0.4865 0.6179  7 Se 2.94-3.19
Pm4 0.5135 0.1314 0.8761  7 Se 2.94-3.19
Pm5 0.8686 0.7447 0.3821  7 Se 2.94-3.19
Mg1 0.7500 0.2500 0.5000  4 Se 2.80
Se1 0.1026 0.2319 0.7459  1 Mg 2.80, 2 Pm 2.94-3.00
Se2 0.1430 0.7435 0.7585  5 Pm 2.94-3.13
Se3 0.2565 0.0150 0.3995  5 Pm 2.94-3.13
Se4 0.4859 0.3566 0.2541  1 Mg 2.80, 2 Pm 2.94-3.00
Se5 0.6155 0.8570 0.6005  5 Pm 2.94-3.13
Se6 0.6434 0.8974 0.1293  1 Mg 2.80, 2 Pm 2.94-3.00
Se7 0.7681 0.5141 0.8707  1 Mg 2.80, 2 Pm 2.94-3.00
Se8 0.9850 0.3845 0.2415  5 Pm 2.94-3.13

Its density of states at the Fermi level is 5.018 states/eV/cell. The calculation puts the formation energy (no corrections) at -1.75 eV per atom. The space-group type is I-4 (82). The value obtained for the spin magnetization is 0.0000 μB/atom. As for the total energy: -5.548 eV per atom.

---

# 3
This record from Alexandria via LeMat-Bulk describes a relaxed structure of Pm2MgSe. The functional is PBE.

a = 3.7879 Å, b = 3.7879 Å, c = 7.2981 Å
α = 90.00°, β = 90.00°, γ = 90.00°
Last column: nearest neighbours and their distance in Å.
Fractional positions:
Pm1 0.0000 0.0000 0.2367  4 Se 3.19, 4 Mg 3.30, 1 Pm 3.45
Pm2 0.0000 0.0000 0.7633  4 Se 3.19, 4 Mg 3.30, 1 Pm 3.45
Mg1 0.5000 0.5000 0.5000  8 Pm 3.30, 2 Se 3.65
Se1 0.5000 0.5000 0.0000  8 Pm 3.19

Its density of states at the Fermi level is 3.364 states/eV/cell. The calculation puts the formation energy (no corrections) at -0.76 eV per atom. The energy above the most stable polymorph in this dataset is 104 meV/atom. The space-group type is P4/mmm (123). The value obtained for the spin magnetization is 0.0000 μB/atom. As for the total energy: -4.404 eV per atom.

---

# 4
This record from Alexandria via LeMat-Bulk describes a relaxed structure of PmMgSe2. The functional is PBE.

a = 7.3823 Å, b = 7.3823 Å, c = 7.3823 Å
α = 31.14°, β = 31.14°, γ = 31.14°
Last column: nearest neighbours and their distance in Å.
Fractional positions:
Pm1 0.0000 0.0000 0.0000  6 Se 3.00-3.02
Mg1 0.1679 0.1679 0.1679  6 Se 2.74-2.79
Se1 0.5728 0.5728 0.5728  3 Mg 2.74, 3 Pm 3.02
Se2 0.7591 0.7591 0.7591  3 Mg 2.79, 3 Pm 3.00

Its density of states at the Fermi level is 0.917 states/eV/cell. The calculation puts the formation energy (no corrections) at -1.47 eV per atom. The energy above the most stable polymorph in this dataset is 0 meV/atom. The space-group type is R3m (160). The value obtained for the spin magnetization is 0.2270 μB/atom. As for the total energy: -4.799 eV per atom.

---

# 5
This record from Alexandria via LeMat-Bulk describes a relaxed structure of Pm5MgSe6. The functional is PBE.

a = 7.2227 Å, b = 7.2227 Å, c = 7.1786 Å
α = 99.60°, β = 99.60°, γ = 120.24°
Last column: nearest neighbours and their distance in Å.
Fractional positions:
Pm1 0.0000 0.0000 0.0000  6 Se 2.94-3.09
Pm2 0.1665 0.8335 0.5000  6 Se 2.95-2.97
Pm3 0.3272 0.6728 0.0000  6 Se 2.93-3.05
Pm4 0.6728 0.3272 0.0000  6 Se 2.93-3.05
Pm5 0.8335 0.1665 0.5000  6 Se 2.95-2.97
Mg1 0.5000 0.5000 0.5000  6 Se 2.78
Se1 0.1071 0.4215 0.2626  1 Mg 2.78, 5 Pm 2.93-3.05
Se2 0.2675 0.2675 0.7417  1 Mg 2.78, 5 Pm 2.97-3.09
Se3 0.4215 0.1071 0.2626  1 Mg 2.78, 5 Pm 2.93-3.05
Se4 0.5785 0.8929 0.7374  1 Mg 2.78, 5 Pm 2.93-3.05
Se5 0.7325 0.7325 0.2583  1 Mg 2.78, 5 Pm 2.97-3.09
Se6 0.8929 0.5785 0.7374  1 Mg 2.78, 5 Pm 2.93-3.05

Its density of states at the Fermi level is 4.900 states/eV/cell. The calculation puts the formation energy (no corrections) at -1.70 eV per atom. The space-group type is C2/m (12). The value obtained for the spin magnetization is 0.0000 μB/atom. As for the total energy: -5.558 eV per atom.

---

# 6
This record from Alexandria via LeMat-Bulk describes a relaxed structure of Pm3MgSe4. The functional is PBE.

a = 14.0901 Å, b = 14.0901 Å, c = 14.0901 Å
α = 16.64°, β = 16.64°, γ = 16.64°
Last column: nearest neighbours and their distance in Å.
Fractional positions:
Pm1 0.0000 0.0000 0.0000  6 Se 2.95
Pm2 0.2494 0.2494 0.2494  6 Se 2.92-3.04
Pm3 0.7506 0.7506 0.7506  6 Se 2.92-3.04
Mg1 0.5000 0.5000 0.5000  6 Se 2.80
Se1 0.1303 0.1303 0.1303  3 Mg 2.80, 3 Pm 3.04
Se2 0.3759 0.3759 0.3759  6 Pm 2.92-2.95
Se3 0.6241 0.6241 0.6241  6 Pm 2.92-2.95
Se4 0.8697 0.8697 0.8697  3 Mg 2.80, 3 Pm 3.04

Its density of states at the Fermi level is 4.191 states/eV/cell. The calculation puts the formation energy (no corrections) at -1.65 eV per atom. The space-group type is R-3m (166). The value obtained for the spin magnetization is 0.0000 μB/atom. As for the total energy: -5.371 eV per atom.

---

# 7
This record from Alexandria via LeMat-Bulk describes a relaxed structure of Sr3Pm3MgSe8. The functional is PBE.

a = 8.6757 Å, b = 8.6757 Å, c = 8.6757 Å
α = 58.35°, β = 58.35°, γ = 58.35°
Last column: nearest neighbours and their distance in Å.
Fractional positions:
Sr1 0.0000 0.5000 0.5000  6 Se 3.08-3.11
Sr2 0.5000 0.0000 0.5000  6 Se 3.08-3.11
Sr3 0.5000 0.5000 0.0000  6 Se 3.08-3.11
Pm1 0.0000 0.0000 0.5000  6 Se 2.96-2.98
Pm2 0.0000 0.5000 0.0000  6 Se 2.96-2.98
Pm3 0.5000 0.0000 0.0000  6 Se 2.96-2.98
Mg1 0.5000 0.5000 0.5000  6 Se 2.85
Se1 0.2459 0.2459 0.2459  3 Pm 2.98, 3 Sr 3.08
Se2 0.2532 0.7353 0.7353  1 Mg 2.85, 2 Pm 2.96, 2 Sr 3.11
Se3 0.2647 0.2647 0.7468  1 Mg 2.85, 2 Pm 2.96, 2 Sr 3.11
Se4 0.2647 0.7468 0.2647  1 Mg 2.85, 2 Pm 2.96, 2 Sr 3.11
Se5 0.7353 0.2532 0.7353  1 Mg 2.85, 2 Pm 2.96, 2 Sr 3.11
Se6 0.7353 0.7353 0.2532  1 Mg 2.85, 2 Pm 2.96, 2 Sr 3.11
Se7 0.7468 0.2647 0.2647  1 Mg 2.85, 2 Pm 2.96, 2 Sr 3.11
Se8 0.7541 0.7541 0.7541  3 Pm 2.98, 3 Sr 3.08

Its density of states at the Fermi level is 3.914 states/eV/cell. The calculation puts the formation energy (no corrections) at -1.84 eV per atom. The space-group type is R-3m (166). The value obtained for the spin magnetization is 0.0000 μB/atom. As for the total energy: -5.088 eV per atom.

---

# 8
This record from Alexandria via LeMat-Bulk describes a relaxed structure of Tb3Pm3MgSe8. The functional is PBE.

a = 8.2762 Å, b = 8.2762 Å, c = 8.2762 Å
α = 59.54°, β = 59.54°, γ = 59.54°
Last column: nearest neighbours and their distance in Å.
Fractional positions:
Tb1 0.0000 0.5000 0.5000  6 Se 2.88
Tb2 0.5000 0.0000 0.5000  6 Se 2.88
Tb3 0.5000 0.5000 0.0000  6 Se 2.88
Pm1 0.0000 0.0000 0.5000  6 Se 2.95
Pm2 0.0000 0.5000 0.0000  6 Se 2.95
Pm3 0.5000 0.0000 0.0000  6 Se 2.95
Mg1 0.0000 0.0000 0.0000  6 Se 2.81
Se1 0.2412 0.2412 0.7532  1 Mg 2.81, 2 Tb 2.88, 2 Pm 2.95
Se2 0.2412 0.7532 0.2412  1 Mg 2.81, 2 Tb 2.88, 2 Pm 2.95
Se3 0.2468 0.7588 0.7588  1 Mg 2.81, 2 Tb 2.88, 2 Pm 2.95
Se4 0.2529 0.2529 0.2529  3 Tb 2.88, 3 Pm 2.95
Se5 0.7471 0.7471 0.7471  3 Tb 2.88, 3 Pm 2.95
Se6 0.7532 0.2412 0.2412  1 Mg 2.81, 2 Tb 2.88, 2 Pm 2.95
Se7 0.7588 0.2468 0.7588  1 Mg 2.81, 2 Tb 2.88, 2 Pm 2.95
Se8 0.7588 0.7588 0.2468  1 Mg 2.81, 2 Tb 2.88, 2 Pm 2.95

Its density of states at the Fermi level is 3.554 states/eV/cell. The calculation puts the formation energy (no corrections) at -1.78 eV per atom. The space-group type is R-3m (166). The value obtained for the spin magnetization is 0.0000 μB/atom. As for the total energy: -5.621 eV per atom.

---

# 9
This record from Alexandria via LeMat-Bulk describes a relaxed structure of Pm5MgSi2. The functional is PBE.

a = 9.4076 Å, b = 9.4076 Å, c = 9.4076 Å
α = 131.36°, β = 131.36°, γ = 71.25°
Last column: nearest neighbours and their distance in Å.
Fractional positions:
Pm1 0.0000 0.0000 0.0000  4 Si 3.10
Pm2 0.0399 0.5399 0.8490  3 Si 3.08-3.09, 2 Mg 3.36
Pm3 0.1909 0.0399 0.5000  3 Si 3.08-3.09, 2 Mg 3.36
Pm4 0.3091 0.8091 0.8490  3 Si 3.08-3.09, 2 Mg 3.36
Pm5 0.4601 0.3091 0.5000  3 Si 3.08-3.09, 2 Mg 3.36
Pm6 0.5000 0.5000 0.0000  4 Si 3.10
Pm7 0.5399 0.6909 0.5000  3 Si 3.08-3.09, 2 Mg 3.36
Pm8 0.6909 0.1909 0.1510  3 Si 3.08-3.09, 2 Mg 3.36
Pm9 0.8091 0.9601 0.5000  3 Si 3.08-3.09, 2 Mg 3.36
Pm10 0.9601 0.4601 0.1510  3 Si 3.08-3.09, 2 Mg 3.36
Mg1 0.2500 0.2500 0.0000  8 Pm 3.36
Mg2 0.7500 0.7500 0.0000  8 Pm 3.36
Si1 0.1169 0.3831 0.5000  1 Si 2.56
Si2 0.3831 0.8831 0.2662  1 Si 2.56
Si3 0.6169 0.1169 0.7338  1 Si 2.56
Si4 0.8831 0.6169 0.5000  1 Si 2.56

Its density of states at the Fermi level is 19.525 states/eV/cell. The calculation puts the formation energy (no corrections) at -0.38 eV per atom. The energy above the most stable polymorph in this dataset is 0 meV/atom. The space-group type is I4/mcm (140). The value obtained for the spin magnetization is 0.0000 μB/atom. As for the total energy: -4.902 eV per atom.

---

# 10
This record from Alexandria via LeMat-Bulk describes a relaxed structure of PmMg2Si2. The functional is PBE.

a = 4.6048 Å, b = 4.2364 Å, c = 11.0528 Å
α = 90.00°, β = 96.07°, γ = 90.00°
Last column: nearest neighbours and their distance in Å.
Fractional positions:
Pm1 0.1789 0.2500 0.2429  7 Si 3.02-3.37
Pm2 0.8211 0.7500 0.7571  7 Si 3.02-3.37
Mg1 0.2493 0.7500 0.4973  4 Si 2.70-2.82
Mg2 0.3487 0.2500 0.8851  5 Si 2.54-2.78
Mg3 0.6513 0.7500 0.1149  5 Si 2.54-2.78
Mg4 0.7507 0.2500 0.5027  4 Si 2.70-2.82
Si1 0.1308 0.7500 0.0119  2 Si 2.44, 2 Mg 2.54-2.59
Si2 0.2862 0.2500 0.6494  5 Mg 2.59-2.82
Si3 0.7138 0.7500 0.3506  5 Mg 2.59-2.82
Si4 0.8692 0.2500 0.9881  2 Si 2.44, 2 Mg 2.54-2.59

Its density of states at the Fermi level is 4.076 states/eV/cell. The calculation puts the formation energy (no corrections) at -0.32 eV per atom. The energy above the most stable polymorph in this dataset is 106 meV/atom. The space-group type is P2_1/m (11). The value obtained for the spin magnetization is 0.0000 μB/atom. As for the total energy: -4.073 eV per atom.

---

# 11
This record from Alexandria via LeMat-Bulk describes a relaxed structure of Pm4MgSi2. The functional is PBE.

a = 9.6064 Å, b = 9.6064 Å, c = 9.6064 Å
α = 30.34°, β = 30.34°, γ = 30.34°
Last column: nearest neighbours and their distance in Å.
Fractional positions:
Pm1 0.1168 0.1168 0.1168  3 Si 3.18, 3 Mg 3.21
Pm2 0.2923 0.2923 0.2923  4 Si 3.01-3.04
Pm3 0.7077 0.7077 0.7077  4 Si 3.01-3.04
Pm4 0.8832 0.8832 0.8832  3 Si 3.18, 3 Mg 3.21
Mg1 0.5000 0.5000 0.5000  2 Si 2.67
Si1 0.4030 0.4030 0.4030  1 Mg 2.67
Si2 0.5970 0.5970 0.5970  1 Mg 2.67

Its density of states at the Fermi level is 8.241 states/eV/cell. The calculation puts the formation energy (no corrections) at -0.27 eV per atom. The space-group type is R-3m (166). The value obtained for the spin magnetization is 0.0002 μB/atom. As for the total energy: -4.761 eV per atom.

---

# 12
This record from Alexandria via LeMat-Bulk describes a relaxed structure of Pm2MgSi. The functional is PBE.

a = 5.2141 Å, b = 5.2141 Å, c = 5.2141 Å
α = 60.00°, β = 60.00°, γ = 60.00°
Last column: nearest neighbours and their distance in Å.
Fractional positions:
Pm1 0.2500 0.2500 0.2500  4 Si 3.19, 4 Mg 3.19
Pm2 0.7500 0.7500 0.7500  4 Mg 3.19, 4 Si 3.19
Mg1 0.0000 0.0000 0.0000  8 Pm 3.19
Si1 0.5000 0.5000 0.5000  8 Pm 3.19

Its density of states at the Fermi level is 3.407 states/eV/cell. The calculation puts the formation energy (no corrections) at -0.29 eV per atom. The energy above the most stable polymorph in this dataset is 25 meV/atom. The space-group type is Fm-3m (225). The value obtained for the spin magnetization is 0.0000 μB/atom. As for the total energy: -4.419 eV per atom.